Material: PmIr2Rh
Method: DFT, GGA-PBE
State: optimized geometry

Output
**Energy**: -116.272 eV per cell
**Total magnetic moment**: 0.0 μB per formula unit
**Symmetry**: Pmma
**Formation enthalpy at 0 K**: 0.189 eV/atom
**V**: 21.56 A^3/atom
**Distance to the lowest polymorph of the same formula**: 0.460 eV/atom

a = 6.813 Å, b = 5.275 Å, c = 9.600 Å
α = 90.00°, β = 90.00°, γ = 90.00°
Fractional coordinates of all 16 atoms:
Rh 0.500 0.750 0.727
Rh 0.000 0.750 0.743
Rh 0.000 0.250 0.257
Rh 0.500 0.250 0.273
Ir 0.000 0.500 0.000
Ir 0.500 0.000 0.500
Ir 0.500 0.500 0.500
Ir 0.311 0.750 0.954
Ir 0.689 0.250 0.046
Ir 0.311 0.250 0.046
Ir 0.689 0.750 0.954
Ir 0.000 0.000 0.000
Pm 0.500 0.750 0.220
Pm 0.000 0.750 0.376
Pm 0.000 0.250 0.624
Pm 0.500 0.250 0.780

Material: ErMg2Pd3
Method: DFT, GGA-PBE
State: optimized geometry

Output
**Energy**: -28.041 eV per cell
**Total magnetic moment**: 0.0 μB per formula unit
**Symmetry**: P4/mmm
**Formation enthalpy at 0 K**: -0.785 eV/atom
**V**: 17.85 A^3/atom
**Distance to the lowest polymorph of the same formula**: 0.009 eV/atom

a = 3.298 Å, b = 3.298 Å, c = 9.847 Å
α = 90.00°, β = 90.00°, γ = 90.00°
Fractional coordinates of all 6 atoms:
Pd 0.000 0.000 0.317
Pd 0.000 0.000 0.000
Pd 0.000 0.000 0.683
Er 0.500 0.500 0.500
Mg 0.500 0.500 0.843
Mg 0.500 0.500 0.157

Material: Th3U2Os4
Method: DFT, GGA-PBE
State: optimized geometry

Output
**Energy**: -91.716 eV per cell
**Total magnetic moment**: 0.0 μB per formula unit
**Symmetry**: C2/m
**Formation enthalpy at 0 K**: -0.218 eV/atom
**V**: 23.11 A^3/atom

a = 4.310 Å, b = 5.952 Å, c = 8.889 Å
α = 101.03°, β = 90.00°, γ = 111.23°
Fractional coordinates of all 9 atoms:
Th 0.631 0.261 0.393
Th 0.369 0.739 0.607
Th 0.000 0.000 0.000
Os 0.291 0.581 0.909
Os 0.709 0.419 0.091
Os 0.069 0.137 0.653
Os 0.931 0.863 0.347
U 0.679 0.359 0.774
U 0.321 0.641 0.226